# K2VSnO4 | Alexandria | GGA+U | relaxed
data_K2VSnO4
_symmetry_space_group_name_H-M 'P 1'
_symmetry_Int_Tables_number 1
_symmetry_space_group_name_Hall 'P 1'
_cell_length_a 5.452
_cell_length_b 6.257
_cell_length_c 6.327
_cell_angle_alpha 110.78
_cell_angle_beta 110.00
_cell_angle_gamma 95.53
loop_
_atom_site_label
_atom_site_type_symbol
_atom_site_fract_x
_atom_site_fract_y
_atom_site_fract_z
K1 K 0.000 0.000 0.000
K2 K 0.443 0.338 0.836
V1 V 0.657 0.013 0.367
Sn1 Sn 0.110 0.649 0.405
O1 O 0.346 0.929 0.388
O2 O 0.605 0.156 0.175
O3 O 0.767 0.755 0.232
O4 O 0.891 0.189 0.658
# calculated total energy: -46.58 eV per cell
# total magnetization: 1.0 μB/f.u.
# space group: P1, No. 1